(1)
# PBE Mg2InPt, relaxed
data_Mg2InPt
_chemical_formula_sum 'Mg4 In2 Pt2'
_space_group_name_H-M_alt 'I 4/m m m'
_space_group_IT_number 139
_space_group_name_Hall '-I 4 2'
_cell_length_a 4.2624
_cell_length_b 4.2624
_cell_length_c 8.1665
_cell_angle_alpha 90.00
_cell_angle_beta 90.00
_cell_angle_gamma 90.00
loop_
_atom_site_label
_atom_site_type_symbol
_atom_site_fract_x
_atom_site_fract_y
_atom_site_fract_z
_atom_site_occupancy
Mg1 Mg 0.0000 0.5000 0.2500 1
In1 In 0.0000 0.0000 0.0000 1
Pt1 Pt 0.0000 0.0000 0.5000 1
# Calculated volume, Å³/cell: 148
# Energy of formation from the pure elements, eV per atom: -0.45

(2)
# PBE MgIn2Pt, relaxed
data_MgIn2Pt
_chemical_formula_sum 'Mg2 In4 Pt2'
_space_group_name_H-M_alt 'I 4/m m m'
_space_group_IT_number 139
_space_group_name_Hall '-I 4 2'
_cell_length_a 4.3765
_cell_length_b 4.3765
_cell_length_c 8.2801
_cell_angle_alpha 90.00
_cell_angle_beta 90.00
_cell_angle_gamma 90.00
loop_
_atom_site_label
_atom_site_type_symbol
_atom_site_fract_x
_atom_site_fract_y
_atom_site_fract_z
_atom_site_occupancy
Mg1 Mg 0.0000 0.0000 0.0000 1
In1 In 0.0000 0.5000 0.2500 1
Pt1 Pt 0.0000 0.0000 0.5000 1
# Calculated volume, Å³/cell: 159
# Energy of formation from the pure elements, eV per atom: -0.26

> What is the formula in the second record?

MgIn2Pt